one | Material: TmTh2Re
Method: DFT, PBE
State: relaxed

Summary:
symmetry: R-3m (166)
total moment: 0.0 μB/cell
DOS(E_F): 5.9 states/eV/cell

Lattice parameters (Å, degrees): 10.5626 10.5626 10.5626 21.22 21.22 21.22
Fractional positions:
Tm1 0.0000 0.0000 0.0000
Th1 0.1125 0.1125 0.1125
Th2 0.8875 0.8875 0.8875
Re1 0.5000 0.5000 0.5000



two | Material: TmTh2Re
Method: DFT, PBE
State: relaxed

Summary:
symmetry: P4/mmm (123)
total moment: 0.0 μB/cell
DOS(E_F): 6.4 states/eV/cell

Lattice parameters (Å, degrees): 3.5423 3.5423 8.6501 90.00 90.00 90.00
Fractional positions:
Tm1 0.0000 0.0000 0.0000
Th1 0.5000 0.5000 0.2931
Th2 0.5000 0.5000 0.7069
Re1 0.0000 0.0000 0.5000



What is the stability order? It is two, one, from most stable to least stable.



one | Material: ThURe
Method: DFT, PBE
State: relaxed

Summary:
symmetry: P2_1/m (11)
total moment: 1.4 μB/cell
DOS(E_F): 10.8 states/eV/cell

Lattice parameters (Å, degrees): 6.5298 3.2486 6.7151 90.00 101.96 90.00
Fractional positions:
Th1 0.2365 0.2500 0.4389
Th2 0.7635 0.7500 0.5611
U1 0.1412 0.2500 0.9420
U2 0.8588 0.7500 0.0580
Re1 0.4463 0.7500 0.8250
Re2 0.5537 0.2500 0.1750



two | Material: ThURe
Method: DFT, PBE
State: relaxed

Summary:
symmetry: P3m1 (156)
total moment: 0.0 μB/cell
DOS(E_F): 3.9 states/eV/cell

Lattice parameters (Å, degrees): 3.5787 3.5787 6.4410 90.00 90.00 120.00
Fractional positions:
Th1 0.0000 0.0000 0.0000
U1 0.3333 0.6667 0.6022
Re1 0.6667 0.3333 0.3476



What is the stability order? It is one, two, from most stable to least stable.



one | Material: ThVRe
Method: DFT, PBE
State: relaxed

Summary:
symmetry: I4mm (107)
total moment: 0.0 μB/cell
DOS(E_F): 3.2 states/eV/cell

Lattice parameters (Å, degrees): 6.2745 6.2745 6.2745 150.56 150.56 42.12
Fractional positions:
Th1 0.0000 0.0000 0.0000
V1 0.7048 0.7048 0.0000
Re1 0.3052 0.3052 0.0000



two | Material: ThVRe
Method: DFT, PBE
State: relaxed

Summary:
symmetry: P-6m2 (187)
total moment: 0.0 μB/cell
DOS(E_F): 4.1 states/eV/cell

Lattice parameters (Å, degrees): 4.1687 4.1687 4.4042 90.00 90.00 120.00
Fractional positions:
Th1 0.0000 0.0000 0.0000
V1 0.6667 0.3333 0.5000
Re1 0.3333 0.6667 0.5000



three | Material: ThVRe
Method: DFT, PBE
State: relaxed

Summary:
symmetry: R-3m (166)
total moment: 0.0 μB/cell
DOS(E_F): 4.9 states/eV/cell

Lattice parameters (Å, degrees): 9.1017 9.1017 9.1017 26.63 26.63 26.63
Fractional positions:
Th1 0.1200 0.1200 0.1200
Th2 0.8800 0.8800 0.8800
V1 0.2759 0.2759 0.2759
V2 0.7241 0.7241 0.7241
Re1 0.3714 0.3714 0.3714
Re2 0.6286 0.6286 0.6286



What is the stability order? It is one, two, three, from most stable to least stable.